{"formula": "SrPtPb2", "functional": "PBE", "state": "optimized geometry", "total_energy_ev_per_atom": -4.0278, "volume_a3_per_atom": 25.7, "spacegroup": "No. 225", "lattice_angstrom": [[0.0000, 3.7190, 3.7190], [3.7190, 0.0000, 3.7190], [3.7190, 3.7190, 0.0000]], "species": ["Pb", "Pb", "Sr", "Pt"], "fractional_positions": [[0.2500, 0.2500, 0.2500], [0.7500, 0.7500, 0.7500], [0.0000, 0.0000, 0.0000], [0.5000, 0.5000, 0.5000]]}



{"formula": "SrPt3Pb", "functional": "PBE", "state": "optimized geometry", "total_energy_ev_per_atom": -3.5780, "volume_a3_per_atom": 29.4, "spacegroup": "No. 221", "de_polymorph_mev_per_atom": 937, "lattice_angstrom": [[-1.7608, -3.8355, 3.1713], [4.2457, -2.9127, -1.1655], [2.5965, 2.1618, 4.0562]], "species": ["Pb", "Sr", "Pt", "Pt", "Pt"], "fractional_positions": [[0.5000, 0.5000, 0.5000], [0.0000, 0.0000, 0.0000], [0.0000, 0.5000, 0.0000], [0.0000, 0.0000, 0.5000], [0.5000, 0.0000, 0.0000]]}



{"formula": "SrPtPb2", "functional": "PBE", "state": "optimized geometry", "total_energy_ev_per_atom": -4.2542, "volume_a3_per_atom": 30.0, "spacegroup": "No. 65", "lattice_angstrom": [[4.6545, 0.0000, 0.0000], [0.0000, 5.2306, -0.0369], [0.0000, 1.7653, 4.9224]], "species": ["Pb", "Pb", "Sr", "Pt"], "fractional_positions": [[0.0000, 0.0641, 0.0641], [0.0000, 0.4359, 0.4359], [0.5000, 0.7500, 0.7500], [0.5000, 0.2500, 0.2500]]}